Below is BC after structural relaxation, with properties calculated at the GGA-PBE level.

Cell and atoms, written as POSCAR:
```
BC
1.0
4.1850 -1.9248 0.0000
4.1850 1.9248 0.0000
-2.2557 0.0000 4.9758
B C
6 6
direct
0.0090 0.0090 0.2596
0.3885 0.3473 0.9111
0.4477 0.1248 0.1330
0.6527 0.6115 0.0889
0.8752 0.5523 0.8670
0.9910 0.9910 0.7404
0.1930 0.8070 0.0000
0.2363 0.7637 0.5000
0.2947 0.3574 0.4189
0.5568 0.1140 0.6460
0.6426 0.7053 0.5811
0.8860 0.4432 0.3540
```

Calculated values
* energy of formation from the pure elements: 0.43 eV per atom
* V: 6.7 A^3/atom
* DOS(E_F): 0.068 states/eV/atom
* E above lowest polymorph: 278 meV per atom